The following is a PBE calculation of an optimized crystal structure of K3Zn5Au3, from Alexandria via LeMat-Bulk.

Cell lengths 6.5963, 7.8872, 7.8859 Å; angles 121.30, 103.52, 103.33 degrees
Fractional positions:
1 K 0.9941 0.1106 0.4238
2 Zn 0.5627 0.3204 0.6503
3 Au 0.4857 0.9579 0.6226
4 Zn 0.5633 0.6501 0.3212
5 Zn 0.4370 0.9389 0.2667
6 Au 0.5030 0.2929 0.2933
7 K 0.0557 0.7791 0.7785
8 Au 0.4843 0.6215 0.9578
9 K 0.9955 0.4262 0.1100
10 Zn 0.4815 0.6361 0.6366
11 Zn 0.4373 0.2664 0.9392

Total magnetic moment, μB per formula unit: 0.000
ΔE_f, meV per atom: -179
Space group: P1
DOS at the Fermi energy, states/eV per cell: 5.40